The following is a PBE-GGA calculation of a geometry-optimized K2TlRh structure, from Alexandria via LeMat-Bulk.

Results
The density of states at the Fermi level is 0.10 states/eV per atom. Its formation energy is 0.54 eV per atom. Its raw total energy is -2.4339 eV per atom.

abc: 7.878 7.878 7.878
angles: 90.00 90.00 90.00
Space group Fm-3m (No. 225)
Unique sites:
K  0.250  0.250  0.250 x8
Tl  0.000  0.000  0.000 x4
Rh  0.000  0.000  0.500 x4


The following is a PBE-GGA calculation of a geometry-optimized K4TlRh structure, from Alexandria via LeMat-Bulk.

Results
The density of states at the Fermi level is 0.93 states/eV per atom. Its formation energy is 0.69 eV per atom. Its raw total energy is -1.6600 eV per atom.

abc: 9.625 9.625 9.625
angles: 90.00 90.00 90.00
Space group F-43m (No. 216)
Unique sites:
K  0.124  0.124  0.124 x16
Tl  0.000  0.000  0.500 x4
Rh  0.250  0.250  0.750 x4